Density functional theory data (PBE) for a relaxed structure of DyMgNiAu. Values from VASP.

The structure in Quantum ESPRESSO input format:
```
&SYSTEM
  ibrav = 0, nat = 4, ntyp = 4
/
ATOMIC_SPECIES
Ni 58.69 Ni.upf
Mg 24.30 Mg.upf
Au 196.97 Au.upf
Dy 162.50 Dy.upf
CELL_PARAMETERS angstrom
4.7606 0.0000 0.0000
2.3803 4.1228 0.0000
2.3803 1.3743 3.8870
ATOMIC_POSITIONS crystal
Ni 0.5000 0.5000 0.5000
Mg 0.7500 0.7500 0.7500
Au 0.0000 0.0000 0.0000
Dy 0.2500 0.2500 0.2500
```

Summary:
* raw total energy: -4.307 eV/atom
* DFT formation energy: -0.493 eV per atom
* D(E_F): 1.9 states/eV per cell
* SG: F-43m (216)